# 1
# NdTm2Pd

NdTm2Pd after structural relaxation (GGA-PBE, Alexandria via LeMat-Bulk).

* space-group type: R-3m (166)
* uncorrected energy: -20.17 eV for the cell shown
* formation energy from the elements: -317 meV/atom
* energy above the lowest structure with this stoichiometry: 14.6 kJ/mol of atoms

a b c (Å): 3.683 3.683 9.932
angles (deg): 79.32 79.32 60.00
Atoms (fractional coordinates):
Tm (0.269, 0.269, 0.192)
Tm (0.731, 0.731, 0.808)
Pd (0.000, 0.000, 0.000)
Nd (0.500, 0.500, 0.500)

# 2
# BaMg4Tl2Zn

BaMg4Tl2Zn after structural relaxation (GGA-PBE, Alexandria via LeMat-Bulk).

* space-group type: R-3m (166)
* uncorrected energy: -15.21 eV for the cell shown
* formation energy from the elements: -113 meV/atom

a b c (Å): 5.016 5.016 10.265
angles (deg): 75.86 75.86 60.00
Atoms (fractional coordinates):
Zn (0.500, 0.500, 0.500)
Tl (0.750, 0.750, 0.749)
Tl (0.250, 0.250, 0.251)
Ba (0.000, 0.000, 0.000)
Mg (0.410, 0.410, 0.771)
Mg (0.137, 0.137, 0.589)
Mg (0.590, 0.590, 0.229)
Mg (0.863, 0.863, 0.411)

# 3
# Rb2Cd5Bi3

Rb2Cd5Bi3 after structural relaxation (GGA-PBE, Alexandria via LeMat-Bulk).

* space-group type: Ibam (72)
* uncorrected energy: -40.06 eV for the cell shown
* formation energy from the elements: -188 meV/atom

a b c (Å): 7.277 10.292 10.292
angles (deg): 76.22 69.30 69.30
Atoms (fractional coordinates):
Cd (0.366, 0.263, 0.004)
Cd (0.497, 0.753, 0.753)
Cd (0.503, 0.247, 0.247)
Cd (0.634, 0.737, 0.996)
Cd (0.750, 0.500, 0.500)
Cd (0.997, 0.753, 0.753)
Cd (0.134, 0.996, 0.737)
Cd (0.866, 0.004, 0.263)
Cd (0.250, 0.500, 0.500)
Cd (0.003, 0.247, 0.247)
Bi (0.874, 0.759, 0.493)
Bi (0.126, 0.241, 0.507)
Bi (0.374, 0.493, 0.759)
Bi (0.626, 0.507, 0.241)
Bi (0.250, 0.000, 0.000)
Bi (0.750, 0.000, 0.000)
Rb (0.622, 0.126, 0.629)
Rb (0.378, 0.874, 0.371)
Rb (0.122, 0.629, 0.126)
Rb (0.878, 0.371, 0.874)

# 4
# SiSb2As

SiSb2As after structural relaxation (GGA-PBE, Alexandria via LeMat-Bulk).

* space-group type: P4mm (99)
* uncorrected energy: -17.64 eV for the cell shown
* energy above the lowest structure with this stoichiometry: 0.6 kJ/mol of atoms
* raw formation energy: 168 meV/atom

a b c (Å): 4.026 4.025 6.115
angles (deg): 90.00 90.00 90.00
Atoms (fractional coordinates):
Si (0.000, 0.000, 0.348)
Sb (0.500, 0.500, 0.402)
Sb (0.000, 0.000, 0.909)
As (0.500, 0.500, 0.841)

# 5
# InBSe2Br

InBSe2Br after structural relaxation (GGA-PBE, Alexandria via LeMat-Bulk).

* space-group type: P4/mmm (123)
* uncorrected energy: -12.90 eV for the cell shown
* energy above the lowest structure with this stoichiometry: 64.1 kJ/mol of atoms
* raw formation energy: 1031 meV/atom

a b c (Å): 5.273 5.273 5.484
angles (deg): 90.00 90.00 90.00
Atoms (fractional coordinates):
Br (0.000, 0.000, 0.500)
B (0.500, 0.500, 0.500)
Se (0.500, 0.000, 0.000)
Se (0.000, 0.500, 0.000)
In (0.000, 0.000, 0.000)

# 6
# SnHgBi

SnHgBi after structural relaxation (GGA-PBE, Alexandria via LeMat-Bulk).

* space-group type: F-43m (216)
* uncorrected energy: -7.89 eV for the cell shown
* formation energy from the elements: 97 meV/atom
* energy above the lowest structure with this stoichiometry: 5.8 kJ/mol of atoms

a b c (Å): 5.195 5.195 5.195
angles (deg): 60.00 60.00 60.00
Atoms (fractional coordinates):
Bi (0.000, 0.000, 0.000)
Sn (0.250, 0.250, 0.250)
Hg (0.500, 0.500, 0.500)

# 7
# YZrCl2

YZrCl2 after structural relaxation (GGA-PBE, Alexandria via LeMat-Bulk).

* space-group type: Pm (6)
* uncorrected energy: -22.30 eV for the cell shown
* energy above the lowest structure with this stoichiometry: 41.5 kJ/mol of atoms
* raw formation energy: -900 meV/atom

a b c (Å): 5.218 3.373 5.043
angles (deg): 79.64 90.00 90.00
Atoms (fractional coordinates):
Cl (0.000, 0.940, 0.984)
Cl (0.500, 0.289, 0.245)
Y (0.000, 0.357, 0.459)
Zr (0.500, 0.915, 0.812)

Q: The highest uncorrected energy belongs to which entry?
A: SnHgBi

Q: Which formula does entry 6 have?
A: SnHgBi

Q: What is the uncorrected energy in the sixth record?
A: -7.89 eV for the cell shown